Density functional theory data (PBE-GGA) for a relaxed NbSbTe crystal.

abc: 4.8463 4.8463 11.0025
angles: 90.00 90.00 120.00
Space group P3m1 (No. 156)
One atom of each set of equivalent atoms:
Nb (0.0000, 0.0000, 0.0000)
Nb (0.0000, 0.0000, 0.2457)
Nb (0.0000, 0.0000, 0.4931)
Sb (0.3333, 0.6667, 0.6490)
Sb (0.6667, 0.3333, 0.1484)
Sb (0.6667, 0.3333, 0.8474)
Te (0.3333, 0.6667, 0.3342)
Te (0.3333, 0.6667, 0.9803)
Te (0.6667, 0.3333, 0.5160)

The value obtained for the total energy is -5.66 eV per atom.

=====

Density functional theory data (PBE-GGA) for a relaxed Nb3Sb2Te5 crystal.

abc: 9.912 9.912 9.912
angles: 90.00 90.00 90.00
Space group I-43m (No. 217)
One atom of each set of equivalent atoms:
Nb (0.000, 0.000, 0.343)
Sb (0.166, 0.166, 0.166)
Te (0.000, 0.250, 0.500)
Te (0.163, 0.163, 0.837)

The value obtained for the total energy is -5.82 eV per atom.

=====

Density functional theory data (PBE-GGA) for a relaxed ThNbSb crystal.

abc: 6.834 6.834 6.834
angles: 90.00 90.00 90.00
Space group F-43m (No. 216)
One atom of each set of equivalent atoms:
Th (0.000, 0.000, 0.000)
Nb (0.250, 0.250, 0.750)
Sb (0.000, 0.000, 0.500)

The value obtained for the total energy is -7.10 eV per atom.

=====

Density functional theory data (PBE-GGA) for a relaxed Nb3TlSb5 crystal.

abc: 5.7563 5.7563 8.7549
angles: 90.00 90.00 120.00
Space group P6/mmm (No. 191)
One atom of each set of equivalent atoms:
Nb (0.0000, 0.5000, 0.0000)
Tl (0.0000, 0.0000, 0.5000)
Sb (0.0000, 0.0000, 0.0000)
Sb (0.3333, 0.6667, 0.2760)

The value obtained for the total energy is -6.02 eV per atom.

=====

Density functional theory data (PBE-GGA) for a relaxed NbTl2Sb crystal.

abc: 7.295 7.295 7.295
angles: 90.00 90.00 90.00
Space group F-43m (No. 216)
One atom of each set of equivalent atoms:
Nb (0.000, 0.000, 0.000)
Tl (0.000, 0.000, 0.500)
Tl (0.250, 0.250, 0.750)
Sb (0.250, 0.250, 0.250)

The value obtained for the total energy is -4.15 eV per atom.

=====

Density functional theory data (PBE-GGA) for a relaxed Tm2NbSb3 crystal.

abc: 4.1986 4.1986 10.3409
angles: 90.00 90.00 120.00
Space group P-3m1 (No. 164)
One atom of each set of equivalent atoms:
Tm (0.3333, 0.6667, 0.1770)
Nb (0.0000, 0.0000, 0.5000)
Sb (0.0000, 0.0000, 0.0000)
Sb (0.3333, 0.6667, 0.6485)

The value obtained for the total energy is -5.86 eV per atom.

=====

Density functional theory data (PBE-GGA) for a relaxed TmNb2Sb3 crystal.

abc: 4.0279 4.0279 10.3895
angles: 90.00 90.00 120.00
Space group P-3m1 (No. 164)
One atom of each set of equivalent atoms:
Tm (0.0000, 0.0000, 0.0000)
Nb (0.3333, 0.6667, 0.6593)
Sb (0.0000, 0.0000, 0.5000)
Sb (0.3333, 0.6667, 0.1844)

The value obtained for the total energy is -6.33 eV per atom.

=====

Density functional theory data (PBE-GGA) for a relaxed UNbSb crystal.

abc: 6.837 6.837 6.837
angles: 90.00 90.00 90.00
Space group F-43m (No. 216)
One atom of each set of equivalent atoms:
U (0.000, 0.000, 0.000)
Nb (0.250, 0.250, 0.250)
Sb (0.250, 0.250, 0.750)

The value obtained for the total energy is -7.49 eV per atom.

=====

Density functional theory data (PBE-GGA) for a relaxed UNbSb crystal.

abc: 6.695 6.695 6.695
angles: 90.00 90.00 90.00
Space group F-43m (No. 216)
One atom of each set of equivalent atoms:
U (0.000, 0.000, 0.000)
Nb (0.250, 0.250, 0.750)
Sb (0.000, 0.000, 0.500)

The value obtained for the total energy is -8.09 eV per atom.

=====

Density functional theory data (PBE-GGA) for a relaxed U3NbSb5 crystal.

abc: 9.1538 9.1538 6.0951
angles: 90.00 90.00 120.00
Space group P6_3/mcm (No. 193)
One atom of each set of equivalent atoms:
U (0.0000, 0.3848, 0.2500)
Nb (0.0000, 0.0000, 0.0000)
Sb (0.0000, 0.2686, 0.7500)
Sb (0.3333, 0.6667, 0.0000)

The value obtained for the total energy is -7.48 eV per atom.

=====

Density functional theory data (PBE-GGA) for a relaxed NbSbW crystal.

abc: 6.406 6.406 6.406
angles: 90.00 90.00 90.00
Space group F-43m (No. 216)
One atom of each set of equivalent atoms:
Nb (0.000, 0.000, 0.000)
Sb (0.250, 0.250, 0.250)
W (0.250, 0.250, 0.750)

The value obtained for the total energy is -8.36 eV per atom.

=====

Density functional theory data (PBE-GGA) for a relaxed Y2NbSb crystal.

abc: 7.250 7.250 7.250
angles: 90.00 90.00 90.00
Space group F-43m (No. 216)
One atom of each set of equivalent atoms:
Y (0.000, 0.000, 0.000)
Y (0.250, 0.250, 0.250)
Nb (0.250, 0.250, 0.750)
Sb (0.000, 0.000, 0.500)

The value obtained for the total energy is -6.82 eV per atom.

=====

Density functional theory data (PBE-GGA) for a relaxed YNb2Sb crystal.

abc: 6.963 6.963 6.963
angles: 90.00 90.00 90.00
Space group F-43m (No. 216)
One atom of each set of equivalent atoms:
Y (0.000, 0.000, 0.000)
Nb (0.000, 0.000, 0.500)
Nb (0.250, 0.250, 0.250)
Sb (0.250, 0.250, 0.750)

The value obtained for the total energy is -7.74 eV per atom.

=====

Density functional theory data (PBE-GGA) for a relaxed YNbSb2 crystal.

abc: 7.255 7.255 7.255
angles: 90.00 90.00 90.00
Space group F-43m (No. 216)
One atom of each set of equivalent atoms:
Y (0.000, 0.000, 0.000)
Nb (0.250, 0.250, 0.250)
Sb (0.000, 0.000, 0.500)
Sb (0.250, 0.250, 0.750)

The value obtained for the total energy is -6.11 eV per atom.

=====

Density functional theory data (PBE-GGA) for a relaxed NbZnSb2 crystal.

abc: 7.020 7.020 7.020
angles: 90.00 90.00 90.00
Space group F-43m (No. 216)
One atom of each set of equivalent atoms:
Nb (0.000, 0.000, 0.000)
Zn (0.250, 0.250, 0.250)
Sb (0.000, 0.000, 0.500)
Sb (0.250, 0.250, 0.750)

The value obtained for the total energy is -4.40 eV per atom.

=====

Density functional theory data (PBE-GGA) for a relaxed Nb2ZnSb crystal.

abc: 6.657 6.657 6.657
angles: 90.00 90.00 90.00
Space group F-43m (No. 216)
One atom of each set of equivalent atoms:
Nb (0.000, 0.000, 0.000)
Nb (0.250, 0.250, 0.250)
Zn (0.250, 0.250, 0.750)
Sb (0.000, 0.000, 0.500)

The value obtained for the total energy is -6.13 eV per atom.

=====

Density functional theory data (PBE-GGA) for a relaxed NbZnSb2 crystal.

abc: 6.348 6.348 12.244
angles: 90.00 90.00 90.00
Space group I-42d (No. 122)
One atom of each set of equivalent atoms:
Nb (0.000, 0.000, 0.000)
Zn (0.000, 0.000, 0.500)
Sb (0.247, 0.750, 0.625)

The value obtained for the total energy is -4.51 eV per atom.

=====

Density functional theory data (PBE-GGA) for a relaxed ZrNb2Sb crystal.

abc: 6.818 6.818 6.818
angles: 90.00 90.00 90.00
Space group F-43m (No. 216)
One atom of each set of equivalent atoms:
Zr (0.000, 0.000, 0.000)
Nb (0.000, 0.000, 0.500)
Nb (0.250, 0.250, 0.250)
Sb (0.250, 0.250, 0.750)

The value obtained for the total energy is -8.31 eV per atom.

=====

Density functional theory data (PBE-GGA) for a relaxed ZrNbSb2 crystal.

abc: 7.073 7.073 7.073
angles: 90.00 90.00 90.00
Space group F-43m (No. 216)
One atom of each set of equivalent atoms:
Zr (0.000, 0.000, 0.000)
Nb (0.250, 0.250, 0.750)
Sb (0.000, 0.000, 0.500)
Sb (0.250, 0.250, 0.250)

The value obtained for the total energy is -6.62 eV per atom.

=====

Density functional theory data (PBE-GGA) for a relaxed ZrNbSb crystal.

abc: 6.598 6.598 6.598
angles: 90.00 90.00 90.00
Space group F-43m (No. 216)
One atom of each set of equivalent atoms:
Zr (0.000, 0.000, 0.000)
Nb (0.000, 0.000, 0.500)
Sb (0.250, 0.250, 0.750)

The value obtained for the total energy is -7.50 eV per atom.

=====

Density functional theory data (PBE-GGA) for a relaxed ScNb crystal.

abc: 6.275 6.275 6.275
angles: 90.00 90.00 90.00
Space group F-43m (No. 216)
One atom of each set of equivalent atoms:
Sc (0.000, 0.000, 0.000)
Nb (0.250, 0.250, 0.250)

The formation energy from the elements comes out at 475 kJ/mol of formula units.

=====

Density functional theory data (PBE-GGA) for a relaxed ScNb crystal.

abc: 5.560 5.560 5.560
angles: 90.00 90.00 90.00
Space group Fm-3m (No. 225)
One atom of each set of equivalent atoms:
Sc (0.000, 0.000, 0.000)
Nb (0.000, 0.000, 0.500)

The formation energy from the elements comes out at 212 kJ/mol of formula units.

=====

Density functional theory data (PBE-GGA) for a relaxed Sc2Nb crystal.

abc: 11.482 3.072 8.564
angles: 90.00 121.97 90.00
Space group C2/m (No. 12)
One atom of each set of equivalent atoms:
Sc (0.115, 0.000, 0.339)
Sc (0.143, 0.500, 0.023)
Nb (0.119, 0.500, 0.662)

The formation energy from the elements comes out at 18 kJ/mol of formula units.

=====

Density functional theory data (PBE-GGA) for a relaxed ScNb crystal.

abc: 3.0738 3.0738 5.0083
angles: 90.00 90.00 120.00
Space group P-6m2 (No. 187)
One atom of each set of equivalent atoms:
Sc (0.0000, 0.0000, 0.0000)
Nb (0.3333, 0.6667, 0.5000)

The formation energy from the elements comes out at 40 kJ/mol of formula units.

=====

Density functional theory data (PBE-GGA) for a relaxed ScNb crystal.

abc: 3.409 3.409 3.409
angles: 90.00 90.00 90.00
Space group Pm-3m (No. 221)
One atom of each set of equivalent atoms:
Sc (0.000, 0.000, 0.000)
Nb (0.500, 0.500, 0.500)

The formation energy from the elements comes out at 65 kJ/mol of formula units.

=====

Density functional theory data (PBE-GGA) for a relaxed Sc2Nb crystal.

abc: 10.870 10.870 10.870
angles: 90.00 90.00 90.00
Space group Fd-3m (No. 227, origin choice 2)
One atom of each set of equivalent atoms:
Sc (0.000, 0.000, 0.000)
Nb (0.125, 0.125, 0.125)

The formation energy from the elements comes out at 660 kJ/mol of formula units.

=====

Density functional theory data (PBE-GGA) for a relaxed ScNb crystal.

abc: 3.1580 3.1580 8.8864
angles: 90.00 90.00 120.00
Space group P6_3/mmc (No. 194)
One atom of each set of equivalent atoms:
Sc (0.0000, 0.0000, 0.0000)
Nb (0.3333, 0.6667, 0.2500)

The formation energy from the elements comes out at 80 kJ/mol of formula units.

=====

Density functional theory data (PBE-GGA) for a relaxed ScNb crystal.

abc: 4.6453 4.6453 4.9828
angles: 90.00 90.00 120.00
Space group P6_3/mmc (No. 194)
One atom of each set of equivalent atoms:
Sc (0.3333, 0.6667, 0.2500)
Nb (0.0000, 0.0000, 0.0000)

The formation energy from the elements comes out at 161 kJ/mol of formula units.

=====

no.,total moment (μB per cell),calculated density (g/cm3)
1,0.003,7.6
2,0.005,7.9
3,0.048,9.3
4,0.011,7.2
5,7.642,10.7
6,0.023,8.4
7,0.319,8.2
8,0.132,9.4
9,8.385,10.0
10,14.627,10.6
11,0.001,10.1
12,8.125,6.8
13,0.026,7.8
14,7.717,7.4
15,3.348,7.7
16,0.025,8.4
17,3.760,5.4
18,0.042,8.4
19,3.737,8.0
20,0.000,7.1
21,16.217,3.7
22,0.238,5.3
23,0.029,4.7
24,0.018,5.6
25,0.008,5.8
26,0.042,1.9
27,0.473,6.0
28,0.020,4.9